Record 1
A relaxed structure of Li2Sc2Ge, computed with PBE.

Cell lengths 6.4377, 6.4377, 4.3920 Å; angles 90.00, 90.00, 90.00 degrees
Site moments in Bohr magnetons follow the coordinates.
Fractional positions:
Ge  0.0000  0.0000  0.0000  -0.03
Ge  0.5000  0.5000  0.0000  -0.03
Sc  0.8131  0.3131  0.5000  0.36
Sc  0.3131  0.1869  0.5000  0.36
Sc  0.6869  0.8131  0.5000  0.36
Sc  0.1869  0.6869  0.5000  0.35
Li  0.3696  0.8696  0.0000  0.05
Li  0.1304  0.3696  0.0000  0.05
Li  0.6304  0.1304  0.0000  0.05
Li  0.8696  0.6304  0.0000  0.05

Output
For the magnetization, the calculation gives 1.332 μB/f.u. As for the calculated formation energy: -0.173 eV/atom.


Record 2
A relaxed structure of LiRe2Pt, computed with PBE.

Cell lengths 4.1857, 2.6619, 5.2501 Å; angles 79.24, 90.00, 90.00 degrees
Fractional positions:
Re  0.0000  0.0490  0.0198
Re  0.5000  0.2751  0.2533
Li  0.0000  0.5294  0.5053
Pt  0.5000  0.6466  0.7216

Output
For the magnetization, the calculation gives 0.000 μB/f.u. As for the calculated formation energy: -0.029 eV/atom.


Record 3
A relaxed structure of Ca2InAs, computed with PBE.

Cell lengths 6.6774, 6.6768, 3.8983 Å; angles 73.03, 73.03, 42.06 degrees
Fractional positions:
In  0.4494  0.4487  0.5509
Ca  0.7539  0.7541  0.7460
Ca  0.0409  0.0404  0.9594
As  0.2558  0.2567  0.2437

Output
For the magnetization, the calculation gives 0.000 μB/f.u. As for the calculated formation energy: -0.610 eV/atom.


Record 4
A relaxed structure of Sm8GaTe4S3, computed with PBE.

Cell lengths 8.3905, 8.6832, 8.3905 Å; angles 118.89, 120.00, 90.00 degrees
Fractional positions:
Sm  0.2395  0.7156  0.9762
Sm  0.2633  0.2844  0.0238
Sm  0.7367  0.7156  0.9762
Sm  0.7605  0.2844  0.5211
Sm  0.2643  0.2929  0.5286
Sm  0.7357  0.7071  0.4714
Sm  0.7605  0.2844  0.0238
Sm  0.2395  0.7156  0.4789
S  0.5000  0.5000  0.0000
S  0.5000  0.5000  0.5000
S  0.0000  0.5000  0.5000
Te  0.0000  0.0000  0.5000
Te  0.5000  0.0000  0.0000
Te  0.0000  0.0000  0.0000
Te  0.5000  0.0000  0.5000
Ga  0.0000  0.5000  0.0000

Output
For the magnetization, the calculation gives 0.000 μB/f.u. The uncorrected formation energy comes out at -1551 meV per atom.


Record 5
A relaxed structure of ZrGePd6, computed with PBE.

Cell lengths 4.7913, 4.7913, 7.2355 Å; angles 71.31, 71.31, 70.48 degrees
Fractional positions:
Pd  0.9241  0.4376  0.7069
Pd  0.6634  0.6634  0.0525
Pd  0.0759  0.5624  0.2931
Pd  0.4376  0.9241  0.7069
Pd  0.3366  0.3366  0.9475
Pd  0.5624  0.0759  0.2931
Ge  0.0000  0.0000  0.0000
Zr  0.5000  0.5000  0.5000

Output
For the magnetization, the calculation gives 0.000 μB/f.u. As for the calculated formation energy: -0.322 eV/atom.


Record 6
A relaxed structure of BaTl2Re, computed with PBE.

Cell lengths 6.0636, 6.0636, 3.3324 Å; angles 90.00, 90.00, 115.90 degrees
Site moments in Bohr magnetons follow the coordinates.
Fractional positions:
Tl  0.5000  0.5000  0.0000  -0.01
Tl  0.0000  0.0000  0.0000  -0.01
Ba  0.5000  0.0000  0.5000  -0.03
Re  0.0000  0.5000  0.5000  2.23

Output
For the magnetization, the calculation gives 2.450 μB/f.u. As for the calculated formation energy: 0.984 eV/atom.


Record 7
A relaxed structure of LaHgBr2, computed with PBE.

Cell lengths 10.0118, 10.0118, 7.8276 Å; angles 50.24, 50.24, 90.00 degrees
Fractional positions:
La  0.2500  0.7500  0.5000
La  0.5000  0.5000  0.0000
Hg  0.0000  0.0000  0.0000
Hg  0.7500  0.2500  0.5000
Br  0.3750  0.4908  0.7500
Br  0.5092  0.1250  0.2500
Br  0.2408  0.6250  0.2500
Br  0.8750  0.7592  0.7500

Output
For the magnetization, the calculation gives 0.000 μB/f.u. The uncorrected formation energy comes out at -1173 meV per atom.


Record 8
A relaxed structure of BiP2SeCl, computed with PBE.

Cell lengths 4.9459, 4.9459, 4.7639 Å; angles 90.00, 90.00, 90.00 degrees
Fractional positions:
Cl  0.0000  0.0000  0.5000
P  0.5000  0.0000  0.0000
P  0.0000  0.5000  0.0000
Se  0.0000  0.0000  0.0000
Bi  0.5000  0.5000  0.5000

Output
For the magnetization, the calculation gives 0.000 μB/f.u. The uncorrected formation energy comes out at 614 meV per atom.


Record 9
A relaxed structure of ScTiSi2I, computed with PBE.

Cell lengths 5.1129, 4.9246, 5.1129 Å; angles 90.00, 90.00, 90.00 degrees
Fractional positions:
Si  0.5000  0.0000  0.0000
Si  0.0000  0.0000  0.5000
Ti  0.0000  0.5000  0.0000
Sc  0.0000  0.0000  0.0000
I  0.5000  0.5000  0.5000

Output
For the magnetization, the calculation gives 0.000 μB/f.u. The uncorrected formation energy comes out at 987 meV per atom.


Record 10
A relaxed structure of Y3HoTh4S8, computed with PBE.

Cell lengths 7.8109, 8.0974, 7.8111 Å; angles 118.84, 120.00, 90.00 degrees
Fractional positions:
S  0.2439  0.7337  0.4878
S  0.7561  0.2663  0.0102
S  0.2439  0.7337  0.9898
S  0.7449  0.7346  0.4898
S  0.2551  0.2654  0.5102
S  0.7459  0.7337  0.9898
S  0.2541  0.2663  0.0102
S  0.7561  0.2663  0.5122
Th  0.0000  0.0000  0.5000
Th  0.5000  0.0000  0.5000
Th  0.5000  0.0000  0.0000
Th  0.0000  0.0000  0.0000
Y  0.0000  0.5000  0.5000
Y  0.5000  0.5000  0.0000
Y  0.5000  0.5000  0.5000
Ho  0.0000  0.5000  0.0000

Output
For the magnetization, the calculation gives 0.000 μB/f.u. The uncorrected formation energy comes out at -1913 meV per atom.


Record 11
A relaxed structure of Ti3Bi2H, computed with PBE.

Cell lengths 3.7380, 5.4788, 5.8196 Å; angles 80.91, 71.27, 70.05 degrees
Fractional positions:
Ti  0.9514  0.5249  0.5723
Ti  0.1822  0.6991  0.9364
Ti  0.7546  0.3137  0.1770
Bi  0.5417  0.1476  0.7690
Bi  0.4022  0.8697  0.3260
H  0.1678  0.4449  0.2194

Output
The value obtained for the final energy is -5.927 eV/atom. For the magnetization, the calculation gives 0.000 μB/f.u.


Record 12
A relaxed structure of BaUP2, computed with PBE.

Cell lengths 4.1376, 4.1376, 7.8376 Å; angles 74.69, 74.69, 60.00 degrees
Site moments in Bohr magnetons follow the coordinates.
Fractional positions:
U  0.6682  0.6682  0.9955  1.90
P  0.2685  0.2685  0.1945  -0.07
P  0.0667  0.0667  0.7998  -0.07
Ba  0.4966  0.4966  0.5103  0.03

Output
For the magnetization, the calculation gives 1.979 μB/f.u. As for the calculated formation energy: -0.875 eV/atom.